[1]
Below is a relaxed structure of P2PtPb, with properties calculated at the GGA-PBE level.

## Properties
The formation energy is -13.2 kJ per mole of atoms. The energy is -21.117 eV/cell.

Lattice parameters (Å, degrees): 3.832 3.832 6.652 106.87 106.87 59.90
Fractional positions:
P 0.226 0.226 0.175
P 0.774 0.774 0.825
Pt 0.500 0.500 0.000
Pb 0.000 0.000 0.500



[2]
Below is a relaxed structure of NaTlF2, with properties calculated at the GGA-PBE level.

## Properties
Its distance to the lowest polymorph of the same formula is 0.0 meV/atom. The uncorrected formation energy comes out at -8.771 eV/f.u. The energy is -32.397 eV/cell.

Lattice parameters (Å, degrees): 3.682 3.703 10.929 90.00 90.30 90.00
Fractional positions:
Na 0.248 0.000 0.401
Na 0.752 0.500 0.599
Tl 0.256 0.953 0.851
Tl 0.744 0.453 0.149
F 0.243 0.946 0.201
F 0.252 0.933 0.606
F 0.748 0.433 0.394
F 0.757 0.446 0.799



[3]
Below is a relaxed structure of Zn2AsO, with properties calculated at the GGA-PBE level.

## Properties
The uncorrected formation energy comes out at 0.651 eV/f.u. The energy is -11.505 eV/cell.

Lattice parameters (Å, degrees): 4.339 4.339 4.339 60.00 60.00 60.00
Fractional positions:
Zn 0.250 0.250 0.250
Zn 0.750 0.750 0.750
As 0.000 0.000 0.000
O 0.500 0.500 0.500



[4]
Below is a relaxed structure of DyTmTcHg, with properties calculated at the GGA-PBE level.

## Properties
The formation energy is -16.7 kJ per mole of atoms. The energy is -20.434 eV/cell.

Lattice parameters (Å, degrees): 5.004 5.004 5.004 60.00 60.00 60.00
Fractional positions:
Dy 0.000 0.000 0.000
Tm 0.500 0.500 0.500
Tc 0.250 0.250 0.250
Hg 0.750 0.750 0.750